# 1
Crystalline Nd3AlHg2 at its relaxed geometry, computed with GGA-PBE.

Structure (extended XYZ):
```
6
Lattice="3.773 0.000 0.000 0.000 3.773 0.000 0.000 0.000 11.595" Properties=species:S:1:pos:R:3 pbc="T T T"
Nd 0.000 0.000 0.000
Nd 0.000 0.000 3.961
Nd 0.000 0.000 7.633
Al 1.887 1.887 5.797
Hg 1.887 1.887 1.981
Hg 1.887 1.887 9.613
```

Values from the calculation:
V = 27.51 Å³/atom
Total magnetization = 0.550 μB per formula unit
Space group = No. 123
Formation enthalpy at 0 K = -9.8 kcal/mol of atoms



# 2
Crystalline Nd3Al3Hg at its relaxed geometry, computed with GGA-PBE.

Structure (extended XYZ):
```
14
Lattice="5.618 -2.336 0.000 5.618 2.336 0.000 -4.690 0.000 13.984" Properties=species:S:1:pos:R:3 pbc="T T T"
Nd -1.321 0.000 5.316
Nd -3.220 0.000 12.817
Nd 1.755 0.000 3.000
Nd 4.791 0.000 10.983
Nd 9.766 0.000 1.166
Nd 7.867 0.000 8.668
Al 2.066 0.000 6.384
Al 0.045 0.000 13.007
Al 1.522 0.000 10.747
Al 5.024 0.000 3.236
Al 6.500 0.000 0.976
Al 4.479 0.000 7.600
Hg -0.075 0.000 8.515
Hg 6.621 0.000 5.469
```

Values from the calculation:
V = 26.21 Å³/atom
Total magnetization = 0.000 μB per formula unit
Space group = No. 12
Formation enthalpy at 0 K = -9.3 kcal/mol of atoms



# 3
Crystalline NdAlHg2 at its relaxed geometry, computed with GGA-PBE.

Structure (extended XYZ):
```
4
Lattice="2.968 -5.012 0.000 2.968 5.012 0.000 0.000 0.000 3.318" Properties=species:S:1:pos:R:3 pbc="T T T"
Nd 0.000 0.000 0.000
Al 2.968 0.000 1.659
Hg 1.484 2.506 1.659
Hg 1.484 -2.506 1.659
```

Values from the calculation:
V = 24.68 Å³/atom
Total magnetization = 0.000 μB per formula unit
Space group = No. 65
Formation enthalpy at 0 K = -5.1 kcal/mol of atoms